ZnCd6In (PBE-GGA, relaxed); E = -1.142 eV per atom; E_form = 35.8 kJ/mol of formula units; symmetry = No. 12
1.0
4.2248 -0.0001 1.1533
1.9274 4.9834 1.2546
-0.0437 -0.0279 8.4750
Cd Zn In
6 1 1
Cartesian
1.7870 1.8951 1.7686
4.3215 3.0603 9.1142
3.4135 0.6201 4.1250
3.5758 3.8214 3.5306
2.5327 1.1340 7.3523
2.6949 4.3353 6.7579
0.0000 0.0000 0.0000
0.9418 2.4777 4.8648

---

Hf3Re2Rh (PBE-GGA, relaxed); E = -10.933 eV per atom; E_form = -336.8 kJ/mol of formula units; symmetry = No. 123
1.0
-1.0255 -0.4749 -3.0773
2.9828 -1.0794 -0.8274
-2.6684 -9.1365 2.2992
Re Rh Hf
2 1 3
Cartesian
0.5246 -2.3319 -1.5611
-1.2356 -8.3588 -0.0444
-0.3555 -5.3454 -0.8027
-0.8820 -3.0200 0.7600
-1.7864 -6.1165 1.5392
0.0000 0.0000 0.0000

---

Nd2YHo (PBE-GGA, relaxed); E = -5.125 eV per atom; E_form = 7.3 kJ/mol of formula units; symmetry = No. 123; energy above the lowest structure with this stoichiometry = 0.0082 eV/atom
1.0
-3.2473 1.5684 -0.3508
-1.5375 -2.8013 1.7078
1.3149 4.7180 8.9231
Y Nd Ho
1 2 1
Cartesian
-1.7349 1.7425 5.1401
0.3264 1.1711 2.2149
0.9885 3.5469 6.7082
-2.3924 -0.6165 0.6785